Entry 1:
YMgTl | PBE-GGA | relaxed

a b c (Å): 6.774 6.774 3.532
angles (deg): 74.89 74.89 30.22
Element x y z (fractional)
Mg1 0.988 0.988 0.012
Tl1 0.342 0.342 0.658
Y1 0.670 0.670 0.330

Volume: 26.2 A^3/atom
SG: I4mm
Final energy: -3.66 eV per atom

Entry 2:
TbEr4Cd | PBE-GGA | relaxed

a b c (Å): 6.263 8.834 8.236
angles (deg): 112.82 99.83 113.00
Element x y z (fractional)
Tb1 0.339 0.589 0.179
Tb2 0.661 0.411 0.821
Er1 0.038 0.160 0.752
Er2 0.753 0.711 0.618
Er3 0.214 0.592 0.752
Er4 0.365 0.907 0.618
Er5 0.635 0.093 0.382
Er6 0.786 0.408 0.248
Er7 0.247 0.289 0.382
Er8 0.962 0.840 0.248
Cd1 0.251 0.001 0.001
Cd2 0.749 0.999 0.999

Energy relative to the lowest polymorph listed for this composition: 100 meV per atom
Volume: 29.8 A^3/atom
SG: C2/c

Entry 3:
TbGa4Co2 | PBE-GGA | relaxed

a b c (Å): 4.153 6.354 16.855
angles (deg): 90.00 90.00 90.00
Element x y z (fractional)
Co1 0.250 0.754 0.538
Co2 0.750 0.246 0.462
Co3 0.750 0.254 0.962
Co4 0.250 0.746 0.038
Co5 0.250 0.980 0.784
Co6 0.750 0.020 0.216
Co7 0.750 0.480 0.716
Co8 0.250 0.520 0.284
Tb1 0.750 0.988 0.639
Tb2 0.250 0.012 0.361
Tb3 0.250 0.488 0.861
Tb4 0.750 0.512 0.139
Ga1 0.250 0.280 0.695
Ga2 0.750 0.720 0.305
Ga3 0.750 0.780 0.805
Ga4 0.250 0.220 0.195
Ga5 0.250 0.685 0.686
Ga6 0.750 0.315 0.314
Ga7 0.750 0.185 0.814
Ga8 0.250 0.815 0.186
Ga9 0.250 0.159 0.532
Ga10 0.750 0.841 0.468
Ga11 0.750 0.659 0.968
Ga12 0.250 0.341 0.032
Ga13 0.250 0.504 0.428
Ga14 0.750 0.496 0.572
Ga15 0.750 0.004 0.072
Ga16 0.250 0.996 0.928

Volume: 15.9 A^3/atom
SG: Pnma
Final energy: -4.82 eV per atom

Entry 4:
CaPm2Sc | PBE-GGA | relaxed

a b c (Å): 4.915 5.145 5.145
angles (deg): 90.00 90.00 90.00
Element x y z (fractional)
Sc1 0.500 0.000 0.000
Ca1 0.500 0.500 0.500
Pm1 0.000 0.000 0.500
Pm2 0.000 0.500 0.000

Energy relative to the lowest polymorph listed for this composition: 78 meV per atom
Volume: 32.5 A^3/atom
SG: P4/mmm

Entry 5:
Mg2InCl | PBE-GGA | relaxed

a b c (Å): 3.463 3.638 7.617
angles (deg): 90.03 90.00 90.00
Element x y z (fractional)
Cl1 0.500 0.250 0.250
In1 0.500 0.750 0.750
Mg1 0.000 0.250 0.979
Mg2 0.000 0.250 0.521

Formation energy without anion corrections: -558.2 meV/atom
Energy relative to the lowest polymorph listed for this composition: 0 meV per atom
Volume: 24.0 A^3/atom
SG: Pmmm

Entry 6:
ScMnIn2Tc | PBE-GGA | relaxed

a b c (Å): 5.300 4.770 5.300
angles (deg): 90.00 90.00 90.00
Element x y z (fractional)
Sc1 0.000 0.000 0.000
Mn1 0.000 0.500 0.000
Tc1 0.500 0.500 0.500
In1 0.000 0.000 0.500
In2 0.500 0.000 0.000

Volume: 26.8 A^3/atom
SG: P4/mmm
Final energy: -4.78 eV per atom